# NaCrIO2 (PBE+U, optimized geometry)
# DOS at the Fermi energy (states/eV/f.u.): 7.05
# Distance to the lowest polymorph of the same formula (meV/atom): 1161
# Total magnetization (μB/f.u.): 7.132
# Total energy (eV per atom): -3.78
# ρ (Mg/m³): 3.392
data_NaCrIO2
_chemical_formula_sum 'Na1 Cr1 I1 O2'
_cell_length_a 4.2922
_cell_length_b 4.2922
_cell_length_c 6.2142
_cell_angle_alpha 90.00
_cell_angle_beta 90.00
_cell_angle_gamma 90.00
_space_group_name_H-M_alt 'P 4/m m m'
_space_group_IT_number 123
_space_group_name_Hall '-P 4 2'
loop_
_atom_site_label
_atom_site_fract_x
_atom_site_fract_y
_atom_site_fract_z
_atom_site_occupancy
Na1 0.0000 0.0000 0.0000 1
Cr1 0.5000 0.5000 0.5000 1
I1 0.0000 0.0000 0.5000 1
O1 0.0000 0.5000 0.0000 1